Ca2FeTe (SCAN, single point on PBEsol structure); total magnetic moment = 2.65 μB/f.u.; energy = -76.4 eV/cell; excess energy over the best structure of this formula in the dataset = 0.000 eV per atom; D(E_F) = 0.773 states/eV/atom; formation energy from raw total energies = -0.426 eV/atom; space group = P4/mmm
1.0
-2.054 0.106 -3.183
1.362 -3.394 -0.992
-5.268 -3.078 3.298
Ca Te Fe
2 1 1
Direct
0.000 0.000 0.755 Ca
0.000 0.000 0.245 Ca
0.500 0.500 0.500 Te
0.500 0.500 0.000 Fe


Al4IrPt (SCAN, single point on PBEsol structure); total magnetic moment = 0.00 μB/f.u.; energy = -173.7 eV/cell; D(E_F) = 0.370 states/eV/atom; space group = F-43m
1.0
-4.477 -0.522 -2.034
-0.682 -3.233 -3.678
-2.607 -4.127 0.788
Ir Al Pt
1 4 1
Direct
0.250 0.250 0.250 Ir
0.625 0.625 0.126 Al
0.126 0.625 0.625 Al
0.625 0.126 0.625 Al
0.625 0.625 0.625 Al
0.000 0.000 0.000 Pt


Mn2MoSe (SCAN, single point on PBEsol structure); total magnetic moment = 5.35 μB/f.u.; energy = -90.5 eV/cell; D(E_F) = 0.823 states/eV/atom; formation energy from raw total energies = 0.239 eV/atom; space group = C2/m
1.0
-0.686 2.734 -0.729
-3.260 -1.818 -2.488
-0.642 -0.243 4.878
Mn Mo Se
2 1 1
Direct
0.000 0.000 0.500 Mn
0.500 0.500 0.500 Mn
0.500 0.000 0.000 Mo
0.000 0.500 0.000 Se


Ag5Hg (SCAN, single point on PBEsol structure); total magnetic moment = 0.00 μB/f.u.; energy = -224.9 eV/cell; excess energy over the best structure of this formula in the dataset = 0.000 eV per atom; D(E_F) = 0.250 states/eV/atom; space group = Cm
1.0
2.948 0.000 0.000
-1.474 5.355 -0.007
0.000 -1.876 6.549
Hg Ag
1 5
Direct
0.720 0.440 0.940 Hg
0.000 0.000 0.005 Ag
0.389 0.779 0.279 Ag
0.668 0.336 0.339 Ag
0.052 0.104 0.603 Ag
0.337 0.673 0.666 Ag


Ta4Cu3 (SCAN, single point on PBEsol structure); total magnetic moment = 0.00 μB/f.u.; energy = -311.9 eV/cell; D(E_F) = 0.718 states/eV/atom; space group = P6/mmm
1.0
-2.337 -4.293 -0.279
4.103 0.386 2.643
-2.719 1.217 4.044
Cu Ta
3 4
Direct
0.000 0.500 0.000 Cu
0.500 0.000 0.000 Cu
0.500 0.500 0.000 Cu
0.000 0.000 0.743 Ta
0.000 0.000 0.257 Ta
0.333 0.667 0.500 Ta
0.667 0.333 0.500 Ta


Zn4Co (SCAN, single point on PBEsol structure); total magnetic moment = 1.11 μB/f.u.; energy = -71.5 eV/cell; D(E_F) = 0.235 states/eV/atom; space group = I4/m
1.0
3.582 0.000 0.000
1.791 4.198 0.000
1.791 0.000 4.198
Zn Co
4 1
Direct
0.398 0.811 0.393 Zn
0.602 0.189 0.607 Zn
0.791 0.607 0.811 Zn
0.209 0.393 0.189 Zn
0.000 0.000 0.000 Co


YCoTeI2 (SCAN, single point on PBEsol structure); total magnetic moment = 2.31 μB/f.u.; energy = -156.5 eV/cell; D(E_F) = 0.882 states/eV/atom; formation energy from raw total energies = -0.121 eV/atom; space group = P4/mmm
1.0
-3.818 -4.357 0.041
3.518 -3.050 3.448
-2.631 2.351 4.765
I Y Te Co
2 1 1 1
Direct
0.000 0.500 0.000 I
0.500 0.000 0.000 I
0.000 0.000 0.000 Y
0.000 0.000 0.500 Te
0.500 0.500 0.500 Co


TaRe2SiTc (SCAN, single point on PBEsol structure); total magnetic moment = 0.91 μB/f.u.; energy = -244.0 eV/cell; D(E_F) = 0.701 states/eV/atom; formation energy from raw total energies = 1.978 eV/atom; space group = P4/mmm
1.0
-1.790 2.021 -3.728
3.208 -2.001 -2.625
-2.824 -3.685 -0.642
Re Si Tc Ta
2 1 1 1
Direct
0.000 0.500 0.000 Re
0.500 0.000 0.000 Re
0.500 0.500 0.500 Si
0.000 0.000 0.000 Tc
0.000 0.000 0.500 Ta


LiBe2Pt (SCAN, single point on PBEsol structure); total magnetic moment = 0.00 μB/f.u.; energy = -84.1 eV/cell; D(E_F) = 0.187 states/eV/atom; space group = Fm-3m
1.0
3.900 0.000 0.000
1.950 3.378 0.000
1.950 1.126 3.184
Be Pt Li
2 1 1
Direct
0.750 0.750 0.750 Be
0.250 0.250 0.250 Be
0.500 0.500 0.500 Pt
0.000 0.000 0.000 Li


SiHI2O (SCAN, single point on PBEsol structure); total magnetic moment = 0.65 μB/f.u.; energy = -89.7 eV/cell; D(E_F) = 0.504 states/eV/atom; space group = P4/mmm
1.0
2.867 0.000 0.000
0.000 5.639 0.000
0.000 0.000 5.639
I H Si O
2 1 1 1
Direct
0.000 0.000 0.500 I
0.000 0.500 0.000 I
0.000 0.000 0.000 H
0.500 0.500 0.500 Si
0.500 0.000 0.000 O


HoSi2Pt2 (SCAN, single point on PBEsol structure); total magnetic moment = 0.00 μB/f.u.; energy = -215.2 eV/cell; D(E_F) = 0.629 states/eV/atom; formation energy from raw total energies = -1.165 eV/atom; space group = I4/mmm
1.0
-1.276 -2.147 -3.271
0.857 -3.511 1.970
-4.352 2.745 2.485
Si Ho Pt
2 1 2
Direct
0.617 0.617 0.234 Si
0.383 0.383 0.766 Si
0.000 0.000 0.000 Ho
0.750 0.250 0.500 Pt
0.250 0.750 0.500 Pt


WBr3Cl (SCAN, single point on PBEsol structure); total magnetic moment = 0.00 μB/f.u.; energy = -135.2 eV/cell; D(E_F) = 0.445 states/eV/atom; formation energy from raw total energies = 0.167 eV/atom; space group = Pm-3m
1.0
4.935 0.000 0.000
0.000 4.935 0.000
0.000 0.000 4.935
Br W Cl
3 1 1
Direct
0.000 0.500 0.000 Br
0.000 0.000 0.500 Br
0.500 0.000 0.000 Br
0.000 0.000 0.000 W
0.500 0.500 0.500 Cl


Ba2SnHg (SCAN, single point on PBEsol structure); total magnetic moment = 0.00 μB/f.u.; energy = -186.2 eV/cell; D(E_F) = 0.014 states/eV/atom; space group = Fm-3m
1.0
-4.333 2.818 2.775
-4.200 -3.047 2.738
-0.246 -0.042 5.862
Ba Hg Sn
2 1 1
Direct
0.250 0.250 0.250 Ba
0.750 0.750 0.750 Ba
0.500 0.500 0.500 Hg
0.000 0.000 0.000 Sn


Y2As (SCAN, single point on PBEsol structure); total magnetic moment = 0.00 μB/f.u.; energy = -156.2 eV/cell; D(E_F) = 0.875 states/eV/atom; space group = I4_1/amd
1.0
-1.641 2.578 -1.773
-2.660 -2.204 -0.742
-3.805 3.395 11.980
As Y
2 4
Direct
0.250 0.750 0.500 As
0.000 0.000 0.000 As
0.813 0.313 0.626 Y
0.437 0.437 0.874 Y
0.687 0.187 0.374 Y
0.563 0.563 0.126 Y


ReOs3O (SCAN, single point on PBEsol structure); total magnetic moment = 3.25 μB/f.u.; energy = -278.8 eV/cell; D(E_F) = 1.092 states/eV/atom; formation energy from raw total energies = 2.842 eV/atom; space group = Pm-3m
1.0
-1.462 -4.441 0.189
0.989 -0.131 4.572
-4.334 1.468 0.979
Re Os O
1 3 1
Direct
0.000 0.000 0.000 Re
0.000 0.500 0.000 Os
0.000 0.000 0.500 Os
0.500 0.000 0.000 Os
0.500 0.500 0.500 O


HfOsF2 (SCAN, single point on PBEsol structure); total magnetic moment = 2.07 μB/f.u.; energy = -142.9 eV/cell; D(E_F) = 0.566 states/eV/atom; formation energy from raw total energies = -0.322 eV/atom; space group = Fm-3m
1.0
4.213 0.000 0.000
2.107 3.649 0.000
2.107 1.216 3.440
Hf Os F
1 1 2
Direct
0.000 0.000 0.000 Hf
0.500 0.500 0.500 Os
0.250 0.250 0.250 F
0.750 0.750 0.750 F


Hf3Zn3C (SCAN, single point on PBEsol structure); total magnetic moment = 0.00 μB/f.u.; energy = -970.4 eV/cell; D(E_F) = 0.539 states/eV/atom; space group = Fd-3m
1.0
8.454 0.000 0.000
4.227 7.321 0.000
4.227 2.440 6.902
Hf Zn C
12 12 4
Direct
0.560 0.560 0.940 Hf
0.940 0.560 0.940 Hf
0.940 0.560 0.560 Hf
0.940 0.940 0.560 Hf
0.560 0.940 0.560 Hf
0.560 0.940 0.940 Hf
0.690 0.690 0.310 Hf
0.310 0.690 0.310 Hf
0.310 0.690 0.690 Hf
0.310 0.310 0.690 Hf
0.690 0.310 0.690 Hf
0.690 0.310 0.310 Hf
0.331 0.006 0.331 Zn
0.331 0.331 0.006 Zn
0.331 0.331 0.331 Zn
0.006 0.331 0.331 Zn
0.919 0.244 0.919 Zn
0.919 0.919 0.244 Zn
0.919 0.919 0.919 Zn
0.244 0.919 0.919 Zn
0.125 0.625 0.125 Zn
0.125 0.125 0.625 Zn
0.125 0.125 0.125 Zn
0.625 0.125 0.125 Zn
0.625 0.125 0.625 C
0.625 0.625 0.125 C
0.625 0.625 0.625 C
0.125 0.625 0.625 C


InAgP (SCAN, single point on PBEsol structure); total magnetic moment = 0.00 μB/f.u.; energy = -74.5 eV/cell; excess energy over the best structure of this formula in the dataset = 0.048 eV per atom; D(E_F) = 0.665 states/eV/atom; space group = F-43m
1.0
-1.189 3.692 2.212
-3.903 0.147 2.165
-0.078 0.000 4.464
Ag In P
1 1 1
Direct
0.000 0.000 0.000 Ag
0.500 0.500 0.500 In
0.250 0.250 0.250 P


Sn5B2Rh6 (SCAN, single point on PBEsol structure); total magnetic moment = 0.00 μB/f.u.; energy = -403.4 eV/cell; D(E_F) = 0.253 states/eV/atom; space group = P-62m
1.0
5.544 0.000 0.000
0.000 6.572 0.000
0.000 -3.286 5.691
Sn B Rh
5 2 6
Direct
0.000 0.596 0.000 Sn
0.000 0.404 0.404 Sn
0.000 0.000 0.596 Sn
0.500 0.333 0.667 Sn
0.500 0.667 0.333 Sn
0.500 0.000 0.000 B
0.000 0.000 0.000 B
0.253 0.748 0.748 Rh
0.747 0.252 0.000 Rh
0.747 0.000 0.252 Rh
0.747 0.748 0.748 Rh
0.253 0.252 0.000 Rh
0.253 0.000 0.252 Rh


BaRuW2 (SCAN, single point on PBEsol structure); total magnetic moment = 0.00 μB/f.u.; energy = -209.6 eV/cell; excess energy over the best structure of this formula in the dataset = 0.000 eV per atom; D(E_F) = 0.957 states/eV/atom; space group = R3m
1.0
-1.423 -1.341 2.403
1.663 -1.066 2.387
-0.651 7.653 5.882
Ba Ru W
1 1 2
Direct
0.502 0.502 0.493 Ba
0.267 0.267 0.199 Ru
0.999 0.999 0.003 W
0.732 0.732 0.805 W